First-principles (PBE-GGA) data for an optimized crystal structure of MgSb2O4, as listed in the Alexandria database.

Unit cell a=6.074 b=8.597 c=8.597 alpha=90.00 beta=90.00 gamma=90.00
Fractional coordinates of all 28 atoms:
Mg 0.750 0.000 0.500
Mg 0.250 0.500 0.000
Mg 0.250 0.000 0.500
Mg 0.750 0.500 0.000
O 0.000 0.099 0.634
O 0.000 0.901 0.366
O 0.500 0.634 0.901
O 0.500 0.366 0.099
O 0.000 0.401 0.134
O 0.000 0.599 0.866
O 0.500 0.866 0.401
O 0.500 0.134 0.599
O 0.750 0.177 0.323
O 0.750 0.823 0.677
O 0.250 0.323 0.823
O 0.250 0.677 0.177
O 0.250 0.823 0.677
O 0.250 0.177 0.323
O 0.750 0.677 0.177
O 0.750 0.323 0.823
Sb 0.000 0.324 0.666
Sb 0.000 0.676 0.334
Sb 0.500 0.666 0.676
Sb 0.500 0.334 0.324
Sb 0.000 0.176 0.166
Sb 0.000 0.824 0.834
Sb 0.500 0.834 0.176
Sb 0.500 0.166 0.824

Calculated values
For the size of the total moment, the calculation gives 0.00 μB per formula unit. Its distance to the lowest polymorph of the same formula is 0.000 eV per atom. For the uncorrected formation energy, the calculation gives -1.773 eV per atom. Its space-group type is P4_2/mbc (135).



First-principles (PBE-GGA) data for an optimized crystal structure of Mg2Sb2O5, as listed in the Alexandria database.

Unit cell a=3.119 b=9.867 c=8.796 alpha=90.00 beta=90.00 gamma=90.00
Fractional coordinates of all 18 atoms:
Sb 0.500 0.705 0.060
Sb 0.500 0.295 0.940
Sb 0.500 0.795 0.560
Sb 0.500 0.205 0.440
Mg 0.000 0.500 0.334
Mg 0.000 0.500 0.666
Mg 0.000 0.000 0.166
Mg 0.000 0.000 0.834
O 0.500 0.000 0.000
O 0.500 0.955 0.690
O 0.500 0.455 0.810
O 0.500 0.545 0.190
O 0.000 0.712 0.680
O 0.000 0.288 0.320
O 0.500 0.045 0.310
O 0.000 0.788 0.180
O 0.500 0.500 0.500
O 0.000 0.212 0.820

Calculated values
For the size of the total moment, the calculation gives 0.00 μB per formula unit. For the uncorrected formation energy, the calculation gives -1.809 eV per atom. Its space-group type is Pbam (55).